No. 1
! BaMgHg2 | the Alexandria database | GGA-PBEsol | optimized geometry; values from VASP
! **Energy of formation**: -39.0 kJ per mole of atoms
! **Magnetic moment**: 0.000 μB per cell
! **N(E_F)**: 2.6 states/eV per cell
! **Crystal system**: tetragonal
! **Volume**: 26.67 Å³/atom
! **Space-group type**: No. 123
! **VASP energy**: -1.6545 eV/atom
&SYSTEM
  ibrav = 0, nat = 4, ntyp = 3
/
ATOMIC_SPECIES
Ba 137.33 Ba.upf
Mg 24.30 Mg.upf
Hg 200.59 Hg.upf
CELL_PARAMETERS angstrom
3.683 0.000 0.000
0.000 3.683 0.000
0.000 0.000 7.867
ATOMIC_POSITIONS crystal
Ba 0.000 0.000 0.000
Mg 0.000 0.000 0.500
Hg 0.500 0.500 0.299
Hg 0.500 0.500 0.701



No. 2
! BaMg2Hg | the Alexandria database | GGA-PBEsol | optimized geometry; values from VASP
! **Energy of formation**: -19.9 kJ per mole of atoms
! **Magnetic moment**: 0.000 μB per cell
! **N(E_F)**: 2.6 states/eV per cell
! **Crystal system**: monoclinic
! **Volume**: 30.20 Å³/atom
! **Space-group type**: No. 6
! **VASP energy**: -1.7439 eV/atom
&SYSTEM
  ibrav = 0, nat = 4, ntyp = 3
/
ATOMIC_SPECIES
Ba 137.33 Ba.upf
Mg 24.30 Mg.upf
Hg 200.59 Hg.upf
CELL_PARAMETERS angstrom
3.788 0.000 0.000
0.000 4.754 0.000
-1.885 0.000 6.707
ATOMIC_POSITIONS crystal
Ba 0.000 0.000 0.000
Mg 0.304 0.500 0.611
Mg 0.737 0.000 0.476
Hg 0.625 0.500 0.252



No. 3
! BaMg2Hg | the Alexandria database | GGA-PBEsol | optimized geometry; values from VASP
! **Energy of formation**: -22.7 kJ per mole of atoms
! **Magnetic moment**: 0.008 μB per cell
! **N(E_F)**: 6.7 states/eV per cell
! **Crystal system**: monoclinic
! **Volume**: 31.27 Å³/atom
! **Space-group type**: No. 8
! **VASP energy**: -1.7732 eV/atom
&SYSTEM
  ibrav = 0, nat = 8, ntyp = 3
/
ATOMIC_SPECIES
Ba 137.33 Ba.upf
Mg 24.30 Mg.upf
Hg 200.59 Hg.upf
CELL_PARAMETERS angstrom
8.543 0.000 0.000
0.000 4.933 0.000
-2.839 0.000 5.936
ATOMIC_POSITIONS crystal
Ba 0.000 0.000 0.000
Ba 0.500 0.500 0.000
Mg 0.198 0.000 0.593
Mg 0.477 0.000 0.429
Mg 0.698 0.500 0.593
Mg 0.977 0.500 0.429
Hg 0.303 0.500 0.408
Hg 0.803 0.000 0.408



No. 4
! BaMgHg | the Alexandria database | GGA-PBEsol | optimized geometry; values from VASP
! **Energy of formation**: -20.0 kJ per mole of atoms
! **Magnetic moment**: 0.023 μB per cell
! **N(E_F)**: 16.1 states/eV per cell
! **Crystal system**: cubic
! **Volume**: 35.84 Å³/atom
! **Space-group type**: No. 216
! **VASP energy**: -1.6845 eV/atom
&SYSTEM
  ibrav = 0, nat = 12, ntyp = 3
/
ATOMIC_SPECIES
Ba 137.33 Ba.upf
Mg 24.30 Mg.upf
Hg 200.59 Hg.upf
CELL_PARAMETERS angstrom
7.548 0.000 0.000
0.000 7.548 0.000
0.000 0.000 7.548
ATOMIC_POSITIONS crystal
Ba 0.000 0.000 0.000
Ba 0.000 0.500 0.500
Ba 0.500 0.000 0.500
Ba 0.500 0.500 0.000
Mg 0.000 0.000 0.500
Mg 0.000 0.500 0.000
Mg 0.500 0.000 0.000
Mg 0.500 0.500 0.500
Hg 0.250 0.250 0.250
Hg 0.250 0.750 0.750
Hg 0.750 0.250 0.750
Hg 0.750 0.750 0.250



No. 5
! BaMgHg | the Alexandria database | GGA-PBEsol | optimized geometry; values from VASP
! **Energy of formation**: -29.3 kJ per mole of atoms
! **Magnetic moment**: 0.000 μB per cell
! **N(E_F)**: 4.1 states/eV per cell
! **Crystal system**: tetragonal
! **Volume**: 30.43 Å³/atom
! **Space-group type**: No. 107
! **VASP energy**: -1.7811 eV/atom
&SYSTEM
  ibrav = 0, nat = 6, ntyp = 3
/
ATOMIC_SPECIES
Ba 137.33 Ba.upf
Mg 24.30 Mg.upf
Hg 200.59 Hg.upf
CELL_PARAMETERS angstrom
3.847 0.000 0.000
0.000 3.847 0.000
0.000 0.000 12.335
ATOMIC_POSITIONS crystal
Ba 0.000 0.000 0.000
Ba 0.500 0.500 0.500
Mg 0.000 0.000 0.711
Mg 0.500 0.500 0.211
Hg 0.000 0.000 0.310
Hg 0.500 0.500 0.810



No. 6
! BaMg2Hg | the Alexandria database | GGA-PBEsol | optimized geometry; values from VASP
! **Energy of formation**: -21.6 kJ per mole of atoms
! **Magnetic moment**: 0.000 μB per cell
! **N(E_F)**: 8.2 states/eV per cell
! **Crystal system**: trigonal
! **Volume**: 30.80 Å³/atom
! **Space-group type**: No. 166
! **VASP energy**: -1.7617 eV/atom
&SYSTEM
  ibrav = 0, nat = 12, ntyp = 3
/
ATOMIC_SPECIES
Ba 137.33 Ba.upf
Mg 24.30 Mg.upf
Hg 200.59 Hg.upf
CELL_PARAMETERS angstrom
4.837 0.000 0.000
-2.418 4.189 0.000
0.000 0.000 18.243
ATOMIC_POSITIONS crystal
Ba 0.000 0.000 0.000
Ba 0.333 0.667 0.667
Ba 0.667 0.333 0.333
Mg 0.000 0.000 0.201
Mg 0.000 0.000 0.799
Mg 0.333 0.667 0.466
Mg 0.333 0.667 0.867
Mg 0.667 0.333 0.133
Mg 0.667 0.333 0.534
Hg 0.000 0.000 0.500
Hg 0.333 0.667 0.167
Hg 0.667 0.333 0.833



No. 7
! BaMgHg2 | the Alexandria database | GGA-PBEsol | optimized geometry; values from VASP
! **Energy of formation**: -40.4 kJ per mole of atoms
! **Magnetic moment**: 0.000 μB per cell
! **N(E_F)**: 10.2 states/eV per cell
! **Crystal system**: trigonal
! **Volume**: 29.58 Å³/atom
! **Space-group type**: No. 166
! **VASP energy**: -1.6687 eV/atom
&SYSTEM
  ibrav = 0, nat = 12, ntyp = 3
/
ATOMIC_SPECIES
Ba 137.33 Ba.upf
Mg 24.30 Mg.upf
Hg 200.59 Hg.upf
CELL_PARAMETERS angstrom
4.917 0.000 0.000
-2.458 4.258 0.000
0.000 0.000 16.953
ATOMIC_POSITIONS crystal
Ba 0.000 0.000 0.000
Ba 0.333 0.667 0.667
Ba 0.667 0.333 0.333
Mg 0.000 0.000 0.500
Mg 0.333 0.667 0.167
Mg 0.667 0.333 0.833
Hg 0.000 0.000 0.210
Hg 0.000 0.000 0.790
Hg 0.333 0.667 0.457
Hg 0.333 0.667 0.876
Hg 0.667 0.333 0.124
Hg 0.667 0.333 0.543



No. 8
! BaMg2Hg | the Alexandria database | GGA-PBEsol | optimized geometry; values from VASP
! **Energy of formation**: -21.0 kJ per mole of atoms
! **Magnetic moment**: 0.000 μB per cell
! **N(E_F)**: 6.5 states/eV per cell
! **Crystal system**: orthorhombic
! **Volume**: 28.15 Å³/atom
! **Space-group type**: No. 44
! **VASP energy**: -1.7552 eV/atom
&SYSTEM
  ibrav = 0, nat = 8, ntyp = 3
/
ATOMIC_SPECIES
Ba 137.33 Ba.upf
Mg 24.30 Mg.upf
Hg 200.59 Hg.upf
CELL_PARAMETERS angstrom
5.413 0.000 0.000
0.000 5.425 0.000
0.000 0.000 7.669
ATOMIC_POSITIONS crystal
Ba 0.000 0.000 0.000
Ba 0.500 0.500 0.500
Mg 0.000 0.000 0.500
Mg 0.000 0.500 0.249
Mg 0.500 0.000 0.749
Mg 0.500 0.500 0.000
Hg 0.000 0.500 0.751
Hg 0.500 0.000 0.251



No. 9
! BaMgHg4 | the Alexandria database | GGA-PBEsol | optimized geometry; values from VASP
! **Energy of formation**: -26.5 kJ per mole of atoms
! **Magnetic moment**: 0.000 μB per cell
! **N(E_F)**: 3.3 states/eV per cell
! **Crystal system**: cubic
! **Volume**: 26.57 Å³/atom
! **Space-group type**: No. 216
! **VASP energy**: -1.2971 eV/atom
&SYSTEM
  ibrav = 0, nat = 6, ntyp = 3
/
ATOMIC_SPECIES
Ba 137.33 Ba.upf
Mg 24.30 Mg.upf
Hg 200.59 Hg.upf
CELL_PARAMETERS angstrom
0.000 4.304 4.304
4.304 0.000 4.304
4.304 4.304 0.000
ATOMIC_POSITIONS crystal
Ba 0.000 0.000 0.000
Mg 0.250 0.250 0.250
Hg 0.127 0.624 0.624
Hg 0.624 0.127 0.624
Hg 0.624 0.624 0.127
Hg 0.624 0.624 0.624



No. 10
! BaMgHg | the Alexandria database | GGA-PBEsol | optimized geometry; values from VASP
! **Energy of formation**: -32.5 kJ per mole of atoms
! **Magnetic moment**: 0.001 μB per cell
! **N(E_F)**: 2.8 states/eV per cell
! **Crystal system**: hexagonal
! **Volume**: 32.45 Å³/atom
! **Space-group type**: No. 187
! **VASP energy**: -1.8147 eV/atom
&SYSTEM
  ibrav = 0, nat = 3, ntyp = 3
/
ATOMIC_SPECIES
Ba 137.33 Ba.upf
Mg 24.30 Mg.upf
Hg 200.59 Hg.upf
CELL_PARAMETERS angstrom
5.056 0.000 0.000
-2.528 4.378 0.000
0.000 0.000 4.398
ATOMIC_POSITIONS crystal
Ba 0.000 0.000 0.000
Mg 0.333 0.667 0.500
Hg 0.667 0.333 0.500



No. 11
! BaY2MgHg | the Alexandria database | GGA-PBEsol | optimized geometry; values from VASP
! **Energy of formation**: 97.5 kJ per mole of atoms
! **Magnetic moment**: 0.000 μB per cell
! **N(E_F)**: 5.6 states/eV per cell
! **Crystal system**: tetragonal
! **Volume**: 38.23 Å³/atom
! **Space-group type**: No. 123
! **VASP energy**: -2.6047 eV/atom
&SYSTEM
  ibrav = 0, nat = 5, ntyp = 4
/
ATOMIC_SPECIES
Ba 137.33 Ba.upf
Y 88.91 Y.upf
Mg 24.30 Mg.upf
Hg 200.59 Hg.upf
CELL_PARAMETERS angstrom
5.749 0.000 0.000
0.000 5.749 0.000
0.000 0.000 5.784
ATOMIC_POSITIONS crystal
Ba 0.000 0.000 0.000
Y 0.000 0.500 0.000
Y 0.500 0.000 0.000
Mg 0.500 0.500 0.500
Hg 0.000 0.000 0.500



No. 12
! BaMn2Hg | the Alexandria database | GGA-PBEsol | optimized geometry; values from VASP
! **Energy of formation**: 70.1 kJ per mole of atoms
! **Magnetic moment**: 31.716 μB per cell
! **N(E_F)**: 25.6 states/eV per cell
! **Crystal system**: cubic
! **Volume**: 22.48 Å³/atom
! **Space-group type**: No. 225
! **Energy relative to the lowest polymorph listed for this composition**: 0.0017 eV per atom
! **VASP energy**: -4.8335 eV/atom
&SYSTEM
  ibrav = 0, nat = 16, ntyp = 3
/
ATOMIC_SPECIES
Ba 137.33 Ba.upf
Mn 54.94 Mn.upf
Hg 200.59 Hg.upf
CELL_PARAMETERS angstrom
7.111 0.000 0.000
0.000 7.111 0.000
0.000 0.000 7.111
ATOMIC_POSITIONS crystal
Ba 0.000 0.000 0.000
Ba 0.000 0.500 0.500
Ba 0.500 0.000 0.500
Ba 0.500 0.500 0.000
Mn 0.250 0.250 0.250
Mn 0.250 0.250 0.750
Mn 0.250 0.750 0.250
Mn 0.250 0.750 0.750
Mn 0.750 0.250 0.250
Mn 0.750 0.250 0.750
Mn 0.750 0.750 0.250
Mn 0.750 0.750 0.750
Hg 0.000 0.000 0.500
Hg 0.000 0.500 0.000
Hg 0.500 0.000 0.000
Hg 0.500 0.500 0.500



Please write out number 11 again, unchanged.
! BaY2MgHg | the Alexandria database | GGA-PBEsol | optimized geometry; values from VASP
! **Energy of formation**: 97.5 kJ per mole of atoms
! **Magnetic moment**: 0.000 μB per cell
! **N(E_F)**: 5.6 states/eV per cell
! **Crystal system**: tetragonal
! **Volume**: 38.23 Å³/atom
! **Space-group type**: No. 123
! **VASP energy**: -2.6047 eV/atom
&SYSTEM
  ibrav = 0, nat = 5, ntyp = 4
/
ATOMIC_SPECIES
Ba 137.33 Ba.upf
Y 88.91 Y.upf
Mg 24.30 Mg.upf
Hg 200.59 Hg.upf
CELL_PARAMETERS angstrom
5.749 0.000 0.000
0.000 5.749 0.000
0.000 0.000 5.784
ATOMIC_POSITIONS crystal
Ba 0.000 0.000 0.000
Y 0.000 0.500 0.000
Y 0.500 0.000 0.000
Mg 0.500 0.500 0.500
Hg 0.000 0.000 0.500



Which of these has the highest energy of formation? BaY2MgHg



magnetic moment of number 12 (BaMn2Hg)? 31.716 μB per cell